Record 1
A plane-wave DFT calculation with GGA-PBE was carried out for a relaxed structure of Hg2Pd4Pt.

a = 5.7027 Å, b = 5.7028 Å, c = 5.7028 Å
α = 87.76°, β = 121.30°, γ = 121.30°
Sites, in units of the cell vectors:
Pd 0.5000 0.0000 0.0000
Pd 0.0000 0.5000 0.0000
Pd 0.5000 0.5000 0.5000
Pd 0.0000 0.0000 0.5000
Hg 0.5000 0.0000 0.5000
Hg 0.5000 0.5000 0.0000
Pt 0.0000 0.0000 0.0000

Values from the calculation:
SG	I4/mmm
excess energy over the best structure of this formula in the dataset	0.00	kJ per mole of atoms
formation energy from the elements	-26	meV per atom

=====

Record 2
A plane-wave DFT calculation with GGA-PBE was carried out for a relaxed structure of Hg2Pd2Pt.

a = 5.2092 Å, b = 6.4935 Å, c = 7.0406 Å
α = 117.46°, β = 111.71°, γ = 90.00°
Sites, in units of the cell vectors:
Hg 0.1761 0.9299 0.3522
Hg 0.6761 0.4223 0.3522
Hg 0.3239 0.5777 0.6478
Hg 0.8239 0.0701 0.6478
Pd 0.5835 0.9302 0.1671
Pd 0.0835 0.2369 0.1671
Pd 0.9165 0.7631 0.8329
Pd 0.4165 0.0698 0.8329
Pt 0.2500 0.5000 0.0000
Pt 0.7500 0.5000 0.0000

Values from the calculation:
SG	Ibam
excess energy over the best structure of this formula in the dataset	0.00	kJ per mole of atoms
formation energy from the elements	7	meV per atom

=====

Record 3
A plane-wave DFT calculation with GGA-PBE was carried out for a relaxed structure of HgPd5Pt.

a = 7.2527 Å, b = 7.0323 Å, c = 5.6961 Å
α = 128.12°, β = 129.54°, γ = 90.00°
Sites, in units of the cell vectors:
Pd 0.3697 0.8186 0.0000
Pd 0.3697 0.1814 0.0000
Pd 0.9348 0.2492 0.4985
Pd 0.8697 0.5000 0.0000
Pd 0.4363 0.7508 0.5015
Hg 0.0267 0.0000 0.0000
Pt 0.5238 0.5000 0.0000

Values from the calculation:
SG	Imm2
excess energy over the best structure of this formula in the dataset	28.30	kJ per mole of atoms
formation energy from the elements	377	meV per atom

=====

Record 4
A plane-wave DFT calculation with GGA-PBE was carried out for a relaxed structure of HgPd5Pt6.

a = 3.9689 Å, b = 7.4542 Å, c = 7.4542 Å
α = 105.61°, β = 105.48°, γ = 105.48°
Sites, in units of the cell vectors:
Pt 0.2551 0.4235 0.0863
Pt 0.2402 0.7405 0.7405
Pt 0.7598 0.2595 0.2595
Pt 0.7449 0.9137 0.5765
Pt 0.2551 0.0863 0.4235
Pt 0.7449 0.5765 0.9137
Hg 0.0000 0.0000 0.0000
Pd 0.0000 0.3319 0.6681
Pd 0.5000 0.8343 0.1657
Pd 0.5000 0.5000 0.5000
Pd 0.5000 0.1657 0.8343
Pd 0.0000 0.6681 0.3319

Values from the calculation:
SG	Immm
formation energy from the elements	-27	meV per atom

=====

Record 5
A plane-wave DFT calculation with GGA-PBE was carried out for a relaxed structure of Hg2Pd5Pt.

a = 4.8421 Å, b = 6.0424 Å, c = 6.0424 Å
α = 90.00°, β = 90.00°, γ = 90.00°
Sites, in units of the cell vectors:
Pd 0.0000 0.2909 0.2909
Pd 0.5000 0.0000 0.0000
Pd 0.0000 0.7091 0.7091
Pd 0.0000 0.7091 0.2909
Pd 0.0000 0.2909 0.7091
Hg 0.5000 0.5000 0.0000
Hg 0.5000 0.0000 0.5000
Pt 0.0000 0.0000 0.0000

Values from the calculation:
SG	P4/mmm
excess energy over the best structure of this formula in the dataset	62.87	kJ per mole of atoms
formation energy from the elements	574	meV per atom

=====

Record 6
A plane-wave DFT calculation with GGA-PBE was carried out for a relaxed structure of Hg2PdPt.

a = 3.8665 Å, b = 4.3253 Å, c = 4.3253 Å
α = 90.00°, β = 90.00°, γ = 90.00°
Sites, in units of the cell vectors:
Pd 0.5000 0.5000 0.5000
Pt 0.5000 0.0000 0.0000
Hg 0.0000 0.0000 0.5000
Hg 0.0000 0.5000 0.0000

Values from the calculation:
SG	P4/mmm
excess energy over the best structure of this formula in the dataset	0.00	kJ per mole of atoms
formation energy from the elements	-68	meV per atom

=====

Record 7
A plane-wave DFT calculation with GGA-PBE was carried out for a relaxed structure of HgPd2Pt.

a = 2.9035 Å, b = 2.9035 Å, c = 9.3386 Å
α = 81.06°, β = 81.06°, γ = 60.00°
Sites, in units of the cell vectors:
Pd 0.2489 0.2489 0.2534
Pd 0.0846 0.0846 0.7462
Pt 0.4996 0.4996 0.5011
Hg 0.6669 0.6669 0.9993

Values from the calculation:
SG	R3m
formation energy from the elements	33	meV per atom

=====

Record 8
A plane-wave DFT calculation with GGA-PBE was carried out for a relaxed structure of HgPd6Pt3.

a = 7.1206 Å, b = 7.8409 Å, c = 7.8409 Å
α = 38.65°, β = 42.13°, γ = 42.13°
Sites, in units of the cell vectors:
Pd 0.0900 0.1663 0.1663
Pd 0.4800 0.4162 0.9161
Pd 0.5200 0.5838 0.0839
Pd 0.5200 0.0839 0.5838
Pd 0.4800 0.9161 0.4162
Pd 0.9100 0.8337 0.8337
Pt 0.9894 0.5921 0.5921
Pt 0.0106 0.4079 0.4079
Pt 0.0000 0.0000 0.0000
Hg 0.5000 0.5000 0.5000

Values from the calculation:
SG	C2/m
excess energy over the best structure of this formula in the dataset	19.59	kJ per mole of atoms
formation energy from the elements	157	meV per atom

=====

Record 9
A plane-wave DFT calculation with GGA-PBE was carried out for a relaxed structure of HgPdPt4.

a = 4.4544 Å, b = 4.9820 Å, c = 9.0090 Å
α = 136.32°, β = 90.00°, γ = 116.55°
Sites, in units of the cell vectors:
Pd 0.0000 0.0000 0.0000
Hg 0.5000 0.0000 0.5000
Pt 0.3992 0.7985 0.0934
Pt 0.6007 0.2015 0.9066
Pt 0.8987 0.7974 0.6129
Pt 0.1013 0.2026 0.3871

Values from the calculation:
SG	C2/m
excess energy over the best structure of this formula in the dataset	0.00	kJ per mole of atoms
formation energy from the elements	111	meV per atom

=====

Record 10
A plane-wave DFT calculation with GGA-PBE was carried out for a relaxed structure of HgPd3Pt.

a = 5.7111 Å, b = 6.9669 Å, c = 9.4271 Å
α = 118.88°, β = 90.00°, γ = 90.00°
Sites, in units of the cell vectors:
Pd 0.6276 0.3967 0.8507
Pd 0.8752 0.0030 0.7487
Pd 0.8724 0.3967 0.3507
Pd 0.1248 0.9970 0.2513
Pd 0.1276 0.6033 0.6493
Pd 0.3752 0.9970 0.7513
Pd 0.8790 0.8076 0.9543
Pd 0.6248 0.0030 0.2487
Pd 0.3790 0.1924 0.5457
Pd 0.1210 0.1924 0.0457
Pd 0.6210 0.8076 0.4543
Pd 0.3724 0.6033 0.1493
Pt 0.6226 0.1902 0.0427
Pt 0.3774 0.8098 0.9573
Pt 0.8774 0.1902 0.5427
Pt 0.1226 0.8098 0.4573
Hg 0.8675 0.6005 0.1561
Hg 0.3675 0.3995 0.3439
Hg 0.6325 0.6005 0.6561
Hg 0.1325 0.3995 0.8439

Values from the calculation:
SG	P2_1/c
excess energy over the best structure of this formula in the dataset	0.49	kJ per mole of atoms
formation energy from the elements	-70	meV per atom

=====

Record 11
A plane-wave DFT calculation with GGA-PBE was carried out for a relaxed structure of HgPd2Pt.

a = 3.9032 Å, b = 3.9032 Å, c = 9.9989 Å
α = 78.74°, β = 78.74°, γ = 90.00°
Sites, in units of the cell vectors:
Hg 0.0000 0.0000 0.0000
Hg 0.7500 0.2500 0.5000
Pt 0.2500 0.7500 0.5000
Pt 0.5000 0.5000 0.0000
Pd 0.1353 0.6250 0.2500
Pd 0.3750 0.3853 0.7500
Pd 0.8750 0.8647 0.7500
Pd 0.6147 0.1250 0.2500

Values from the calculation:
SG	I-42d
formation energy from the elements	217	meV per atom

=====

Record 12
A plane-wave DFT calculation with GGA-PBE was carried out for a relaxed structure of Hg2Pd9Pt.

a = 4.0018 Å, b = 4.0018 Å, c = 12.1673 Å
α = 90.00°, β = 90.00°, γ = 90.00°
Sites, in units of the cell vectors:
Pd 0.5000 0.5000 0.0000
Pd 0.5000 0.0000 0.1600
Pd 0.0000 0.5000 0.1600
Pd 0.0000 0.5000 0.8400
Pd 0.5000 0.0000 0.8400
Pd 0.5000 0.5000 0.3291
Pd 0.5000 0.5000 0.6709
Pd 0.5000 0.0000 0.5000
Pd 0.0000 0.5000 0.5000
Hg 0.0000 0.0000 0.6693
Hg 0.0000 0.0000 0.3307
Pt 0.0000 0.0000 0.0000

Values from the calculation:
SG	P4/mmm
formation energy from the elements	-75	meV per atom

=====

Record 13
A plane-wave DFT calculation with GGA-PBE was carried out for a relaxed structure of Hg2Pd2Pt.

a = 7.7743 Å, b = 7.7743 Å, c = 3.0755 Å
α = 90.00°, β = 90.00°, γ = 90.00°
Sites, in units of the cell vectors:
Pd 0.3654 0.1346 0.5000
Pd 0.8654 0.3654 0.5000
Pd 0.6346 0.8654 0.5000
Pd 0.1346 0.6346 0.5000
Hg 0.6630 0.1630 0.0000
Hg 0.1630 0.3370 0.0000
Hg 0.3370 0.8370 0.0000
Hg 0.8370 0.6630 0.0000
Pt 0.0000 0.0000 0.0000
Pt 0.5000 0.5000 0.0000

Values from the calculation:
SG	P4/mbm
excess energy over the best structure of this formula in the dataset	10.91	kJ per mole of atoms
formation energy from the elements	120	meV per atom

=====

Record 14
A plane-wave DFT calculation with GGA-PBE was carried out for a relaxed structure of Hg2Pd5Pt2.

a = 7.1774 Å, b = 5.6015 Å, c = 9.3293 Å
α = 107.47°, β = 112.62°, γ = 90.00°
Sites, in units of the cell vectors:
Pd 0.2056 0.7874 0.5000
Pd 0.1336 0.6709 0.7672
Pd 0.8664 0.9037 0.2328
Pd 0.8664 0.4037 0.2328
Pd 0.5802 0.1176 0.6605
Pd 0.7944 0.2874 0.5000
Pd 0.5803 0.6176 0.6605
Pd 0.4197 0.9571 0.3395
Pd 0.4198 0.4571 0.3395
Pd 0.1336 0.1709 0.7672
Pt 0.1210 0.6105 0.1464
Pt 0.8790 0.4641 0.8536
Pt 0.4747 0.9641 0.8536
Pt 0.5253 0.1105 0.1464
Hg 0.8064 0.7874 0.5000
Hg 0.1936 0.2874 0.5000
Hg 0.0000 0.0373 0.0000
Hg 0.5000 0.5373 0.0000

Values from the calculation:
SG	Imma
formation energy from the elements	106	meV per atom

=====

Record 15
A plane-wave DFT calculation with GGA-PBE was carried out for a relaxed structure of Hg2PdPt.

a = 7.4733 Å, b = 7.4733 Å, c = 6.0106 Å
α = 51.56°, β = 51.56°, γ = 90.00°
Sites, in units of the cell vectors:
Pd 0.2500 0.7500 0.5000
Pd 0.5000 0.5000 0.0000
Hg 0.6258 0.1250 0.2500
Hg 0.8750 0.8758 0.7500
Hg 0.1242 0.6250 0.2500
Hg 0.3750 0.3742 0.7500
Pt 0.7500 0.2500 0.5000
Pt 0.0000 0.0000 0.0000

Values from the calculation:
SG	I-42d
excess energy over the best structure of this formula in the dataset	24.27	kJ per mole of atoms
formation energy from the elements	183	meV per atom

=====

Record 16
A plane-wave DFT calculation with GGA-PBE was carried out for a relaxed structure of HgPd6Pt3.

a = 3.9899 Å, b = 8.9407 Å, c = 8.9252 Å
α = 90.05°, β = 90.00°, γ = 90.00°
Sites, in units of the cell vectors:
Hg 0.2500 0.9436 0.6083
Hg 0.7500 0.0564 0.3917
Pd 0.2500 0.0497 0.9040
Pd 0.2500 0.2558 0.5042
Pd 0.7500 0.8416 0.8063
Pd 0.7500 0.7442 0.4958
Pd 0.7500 0.1514 0.7039
Pd 0.2500 0.1584 0.1937
Pd 0.2500 0.8486 0.2961
Pd 0.7500 0.3571 0.3004
Pd 0.2500 0.4520 0.0996
Pd 0.7500 0.9503 0.0960
Pd 0.7500 0.5480 0.9004
Pd 0.2500 0.6429 0.6996
Pt 0.7500 0.2524 0.9993
Pt 0.2500 0.5502 0.3971
Pt 0.2500 0.7476 0.0007
Pt 0.7500 0.4498 0.6029
Pt 0.2500 0.3487 0.8043
Pt 0.7500 0.6513 0.1957

Values from the calculation:
SG	P2_1/m
excess energy over the best structure of this formula in the dataset	0.00	kJ per mole of atoms
formation energy from the elements	-46	meV per atom

=====

Record 17
A plane-wave DFT calculation with GGA-PBE was carried out for a relaxed structure of Hg2PdPt.

a = 4.1703 Å, b = 4.1703 Å, c = 6.1532 Å
α = 70.19°, β = 70.19°, γ = 60.00°
Sites, in units of the cell vectors:
Pd 0.4982 0.4982 0.5054
Hg 0.0788 0.0788 0.7636
Hg 0.2551 0.2551 0.2347
Pt 0.6679 0.6679 0.9963

Values from the calculation:
SG	R3m
excess energy over the best structure of this formula in the dataset	20.16	kJ per mole of atoms
formation energy from the elements	141	meV per atom

=====

Record 18
A plane-wave DFT calculation with GGA-PBE was carried out for a relaxed structure of Hg2Pd8Pt3.

a = 2.7916 Å, b = 9.4311 Å, c = 9.7247 Å
α = 122.37°, β = 90.00°, γ = 90.00°
Sites, in units of the cell vectors:
Pt 0.0000 0.2886 0.0682
Pt 0.5000 0.0000 0.0000
Pt 0.0000 0.7114 0.9318
Pd 0.5000 0.0940 0.7796
Pd 0.5000 0.5031 0.6427
Pd 0.5000 0.4969 0.3573
Pd 0.0000 0.2122 0.3072
Pd 0.5000 0.9060 0.2204
Pd 0.0000 0.7878 0.6928
Pd 0.0000 0.3863 0.8380
Pd 0.0000 0.6137 0.1620
Hg 0.5000 0.8265 0.4596
Hg 0.5000 0.1735 0.5404

Values from the calculation:
SG	P2/m
formation energy from the elements	35	meV per atom

=====

Record 19
A plane-wave DFT calculation with GGA-PBE was carried out for a relaxed structure of Hg2Pd2Pt.

a = 6.9523 Å, b = 6.9523 Å, c = 3.8839 Å
α = 90.00°, β = 90.00°, γ = 90.00°
Sites, in units of the cell vectors:
Pd 0.3650 0.8650 0.0000
Pd 0.1350 0.3650 0.0000
Pd 0.8650 0.6350 0.0000
Pd 0.6350 0.1350 0.0000
Pt 0.0000 0.0000 0.0000
Pt 0.5000 0.5000 0.0000
Hg 0.6688 0.8312 0.5000
Hg 0.8312 0.3312 0.5000
Hg 0.3312 0.1688 0.5000
Hg 0.1688 0.6688 0.5000

Values from the calculation:
SG	P4/mbm
excess energy over the best structure of this formula in the dataset	4.17	kJ per mole of atoms
formation energy from the elements	50	meV per atom

=====

Record 20
A plane-wave DFT calculation with GGA-PBE was carried out for a relaxed structure of HgPd8Pt5.

a = 6.7486 Å, b = 6.7486 Å, c = 6.7486 Å
α = 108.50°, β = 108.50°, γ = 111.43°
Sites, in units of the cell vectors:
Pd 0.6317 0.8023 0.4253
Pd 0.1157 0.0100 0.7874
Pd 0.7936 0.3683 0.1706
Pd 0.3770 0.2064 0.5747
Pd 0.6716 0.8843 0.8943
Pd 0.1977 0.6230 0.8294
Pd 0.2227 0.3284 0.2126
Pd 0.9900 0.7773 0.1057
Hg 0.2500 0.7500 0.5000
Pt 0.4681 0.0507 0.2132
Pt 0.7452 0.5319 0.5826
Pt 0.8375 0.2548 0.7868
Pt 0.5000 0.5000 0.0000
Pt 0.9493 0.1625 0.4174

Values from the calculation:
SG	I-4
formation energy from the elements	169	meV per atom

=====

Record 21
A plane-wave DFT calculation with GGA-PBE was carried out for a relaxed structure of HgPdPt4.

a = 5.2985 Å, b = 5.2985 Å, c = 5.2985 Å
α = 60.00°, β = 60.00°, γ = 60.00°
Sites, in units of the cell vectors:
Pd 0.2500 0.2500 0.2500
Pt 0.6247 0.1258 0.6247
Pt 0.1258 0.6247 0.6247
Pt 0.6247 0.6247 0.1258
Pt 0.6247 0.6247 0.6247
Hg 0.0000 0.0000 0.0000

Values from the calculation:
SG	F-43m
excess energy over the best structure of this formula in the dataset	1.44	kJ per mole of atoms
formation energy from the elements	126	meV per atom

=====

Record 22
A plane-wave DFT calculation with GGA-PBE was carried out for a relaxed structure of HgPd6Pt2.

a = 5.0712 Å, b = 8.8889 Å, c = 8.8889 Å
α = 48.35°, β = 96.92°, γ = 96.92°
Sites, in units of the cell vectors:
Hg 0.7500 0.8219 0.1781
Hg 0.2500 0.1781 0.8219
Pd 0.8449 0.2334 0.9770
Pd 0.6154 0.6060 0.0516
Pd 0.3846 0.3940 0.9484
Pd 0.1551 0.7666 0.0230
Pd 0.3449 0.9770 0.2334
Pd 0.6399 0.5498 0.6015
Pd 0.1154 0.0516 0.6060
Pd 0.6551 0.0230 0.7666
Pd 0.8846 0.9484 0.3940
Pd 0.1399 0.6015 0.5498
Pd 0.8601 0.3985 0.4502
Pd 0.3601 0.4502 0.3985
Pt 0.5464 0.1970 0.3500
Pt 0.9536 0.6500 0.8030
Pt 0.0464 0.3500 0.1970
Pt 0.4536 0.8030 0.6500

Values from the calculation:
SG	C2/c
excess energy over the best structure of this formula in the dataset	2.20	kJ per mole of atoms
formation energy from the elements	33	meV per atom

=====

no.,electronic total energy (eV per atom),calculated volume (Å³ per cell)
1,-3.943,128.5
2,-3.399,192.1
3,-4.238,134.3
4,-5.236,190.6
5,-3.502,176.8
6,-3.027,72.3
7,-4.149,67.1
8,-4.801,169.0
9,-4.832,105.2
10,-4.454,328.4
11,-3.965,146.4
12,-4.523,194.9
13,-3.286,185.9
14,-4.188,327.4
15,-2.776,159.9
16,-5.004,318.4
17,-2.818,85.3
18,-4.601,216.3
19,-3.356,187.7
20,-4.977,236.4
21,-4.817,105.2
22,-4.805,296.8